Entry from the Alexandria database: crystalline KCa3Cl7 at its relaxed geometry (PBE).

Lattice parameters (Å, degrees): 6.8238 6.8238 7.1828 104.80 104.80 95.02
Fractional positions:
K (0.0000, 0.0000, 0.0000)
Ca (0.2729, 0.7271, 0.5000)
Ca (0.5000, 0.5000, 0.0000)
Ca (0.7271, 0.2729, 0.5000)
Cl (0.0000, 0.0000, 0.5000)
Cl (0.1297, 0.5468, 0.7595)
Cl (0.3559, 0.3559, 0.2655)
Cl (0.4532, 0.8703, 0.2405)
Cl (0.5468, 0.1297, 0.7595)
Cl (0.6441, 0.6441, 0.7345)
Cl (0.8703, 0.4532, 0.2405)

Output
- DFT total energy: -4.1070 eV per atom
- SG: No. 12
- Uncorrected formation energy: -2286 meV/atom

---

Entry from the Alexandria database: crystalline Li4Dy3ThSe8 at its relaxed geometry (PBE).

Lattice parameters (Å, degrees): 8.0454 8.0454 8.0454 60.86 60.86 60.86
Fractional positions:
Li (0.0000, 0.0000, 0.0000)
Li (0.0000, 0.5000, 0.5000)
Li (0.5000, 0.0000, 0.5000)
Li (0.5000, 0.5000, 0.0000)
Dy (0.0000, 0.0000, 0.5000)
Dy (0.0000, 0.5000, 0.0000)
Dy (0.5000, 0.0000, 0.0000)
Th (0.5000, 0.5000, 0.5000)
Se (0.2447, 0.2447, 0.7513)
Se (0.2447, 0.7513, 0.2447)
Se (0.2487, 0.7553, 0.7553)
Se (0.2514, 0.2514, 0.2514)
Se (0.7486, 0.7486, 0.7486)
Se (0.7513, 0.2447, 0.2447)
Se (0.7553, 0.2487, 0.7553)
Se (0.7553, 0.7553, 0.2487)

Output
- DFT total energy: -5.1849 eV per atom
- SG: No. 166
- Uncorrected formation energy: -1638 meV/atom

---

Entry from the Alexandria database: crystalline Er2OsPb at its relaxed geometry (PBE).

Lattice parameters (Å, degrees): 3.3779 3.3779 8.4142 90.00 90.00 90.00
Fractional positions:
Er (0.0000, 0.0000, 0.1962)
Er (0.0000, 0.0000, 0.8038)
Os (0.5000, 0.5000, 0.0000)
Pb (0.5000, 0.5000, 0.5000)

Output
- DFT total energy: -6.4194 eV per atom
- SG: No. 123
- Formation energy from the elements: -1.61 eV per formula unit